(1)
Below is a PBEsol-optimized structure of SiAsI2, with properties calculated at the meta-GGA SCAN level.

Unit cell a=6.6241 b=6.6241 c=6.6241 alpha=106.16 beta=106.16 gamma=116.32
Positions (direct):
Si (0.5000, 0.5000, 0.0000)
Si (0.7500, 0.2500, 0.5000)
I (0.6250, 0.1359, 0.0109)
I (0.3859, 0.3750, 0.5109)
As (0.2500, 0.7500, 0.5000)
I (0.8641, 0.8750, 0.4891)
I (0.1250, 0.6141, 0.9891)
As (0.0000, 0.0000, 0.0000)

Results
Formation energy from raw total energies in eV/atom: 0.82

***

(2)
Below is a PBEsol-optimized structure of SnPbF3, with properties calculated at the meta-GGA SCAN level.

Unit cell a=4.6062 b=4.6062 c=4.6062 alpha=90.00 beta=90.00 gamma=90.00
Site moments in Bohr magnetons follow the coordinates.
Positions (direct):
F (0.0000, 0.0000, 0.5000)  0.04
F (0.0000, 0.5000, 0.0000)  0.04
F (0.5000, 0.0000, 0.0000)  0.04
Pb (0.5000, 0.5000, 0.5000)  0.34
Sn (0.0000, 0.0000, 0.0000)  0.06

Results
Formation energy from raw total energies in eV/atom: -1.59

***

(3)
Below is a PBEsol-optimized structure of Sb2OsIO, with properties calculated at the meta-GGA SCAN level.

Unit cell a=4.4786 b=4.4786 c=4.9046 alpha=90.00 beta=90.00 gamma=90.00
Positions (direct):
I (0.0000, 0.0000, 0.5000)
Os (0.5000, 0.5000, 0.5000)
O (0.0000, 0.0000, 0.0000)
Sb (0.5000, 0.0000, 0.0000)
Sb (0.0000, 0.5000, 0.0000)

Results
Formation energy from raw total energies in eV/atom: 1.04

***

(4)
Below is a PBEsol-optimized structure of SrMgZr2, with properties calculated at the meta-GGA SCAN level.

Unit cell a=3.3524 b=5.3148 c=6.6113 alpha=113.62 beta=104.69 gamma=90.00
Positions (direct):
Mg (0.0000, 0.5000, 0.0000)
Sr (0.5000, 0.0000, 0.0000)
Zr (0.2754, 0.2763, 0.5508)
Zr (0.7246, 0.7237, 0.4492)

Results
Total DFT energy (no corrections) in hartree per atom: -0.8025

***

(5)
Below is a PBEsol-optimized structure of Li2CrOs, with properties calculated at the meta-GGA SCAN level.

Unit cell a=3.2201 b=3.2201 c=4.7989 alpha=90.00 beta=90.00 gamma=90.00
Site moments in Bohr magnetons follow the coordinates.
Positions (direct):
Li (0.0000, 0.0000, 0.7626)  0.00
Cr (0.5000, 0.5000, 0.5000)  3.02
Os (0.5000, 0.5000, 0.0000)  -0.45
Li (0.0000, 0.0000, 0.2374)  0.00

Results
Distance to the lowest polymorph of the same formula in eV per atom: 0.187

***

(6)
Below is a PBEsol-optimized structure of Ca2Tl2Pb, with properties calculated at the meta-GGA SCAN level.

Unit cell a=4.9342 b=4.9342 c=7.4089 alpha=109.45 beta=109.45 gamma=90.00
Positions (direct):
Tl (0.3967, 0.3967, 0.7934)
Tl (0.6033, 0.6033, 0.2066)
Ca (0.2500, 0.7500, 0.5000)
Pb (0.0000, 0.0000, 0.0000)
Ca (0.7500, 0.2500, 0.5000)

Results
Distance to the lowest polymorph of the same formula in eV per atom: 0.326

***

(7)
Below is a PBEsol-optimized structure of SrMn2Tc, with properties calculated at the meta-GGA SCAN level.

Unit cell a=2.9123 b=4.7476 c=4.7476 alpha=90.00 beta=90.00 gamma=90.00
Site moments in Bohr magnetons follow the coordinates.
Positions (direct):
Mn (0.0000, 0.5000, 0.0000)  3.55
Mn (0.0000, 0.0000, 0.5000)  3.55
Tc (0.5000, 0.0000, 0.0000)  -1.45
Sr (0.5000, 0.5000, 0.5000)  -0.13

Results
Distance to the lowest polymorph of the same formula in eV per atom: 0.477

***

(8)
Below is a PBEsol-optimized structure of RuWN2F, with properties calculated at the meta-GGA SCAN level.

Unit cell a=3.9401 b=3.9401 c=3.9039 alpha=90.00 beta=90.00 gamma=90.00
Site moments in Bohr magnetons follow the coordinates.
Positions (direct):
F (0.0000, 0.0000, 0.5000)  0.01
N (0.0000, 0.5000, 0.0000)  -0.05
N (0.5000, 0.0000, 0.0000)  -0.05
W (0.0000, 0.0000, 0.0000)  0.11
Ru (0.5000, 0.5000, 0.5000)  2.65

Results
Formation energy from raw total energies in eV/atom: 0.30

***

(9)
Below is a PBEsol-optimized structure of MgZn2Mo, with properties calculated at the meta-GGA SCAN level.

Unit cell a=2.7042 b=2.7042 c=8.5067 alpha=90.00 beta=90.00 gamma=98.97
Positions (direct):
Zn (0.5000, 0.5000, 0.7643)
Mo (0.5000, 0.5000, 0.2365)
Zn (0.0000, 0.0000, 0.9973)
Mg (0.0000, 0.0000, 0.5018)

Results
Total DFT energy (no corrections) in hartree per atom: -0.6106

***

(10)
Below is a PBEsol-optimized structure of BiP3Pb4O13, with properties calculated at the meta-GGA SCAN level.

Unit cell a=9.4946 b=10.0548 c=13.1683 alpha=90.00 beta=90.00 gamma=90.00
Positions (direct):
Pb (0.1998, 0.0589, 0.4327)
O (0.5822, 0.1163, 0.3142)
Pb (0.1367, 0.2500, 0.7259)
O (0.8707, 0.3719, 0.4164)
O (0.8707, 0.1281, 0.4164)
Pb (0.6367, 0.7500, 0.7741)
O (0.3325, 0.7500, 0.9120)
O (0.9178, 0.3837, 0.8142)
O (0.1675, 0.7500, 0.4120)
P (0.9316, 0.9624, 0.8283)
Pb (0.8633, 0.7500, 0.2741)
P (0.4316, 0.0376, 0.6717)
Bi (0.2879, 0.7500, 0.2289)
O (0.1605, 0.1080, 0.2514)
O (0.4101, 0.5752, 0.3170)
O (0.3707, 0.6281, 0.0836)
O (0.4178, 0.8837, 0.6858)
O (0.6675, 0.2500, 0.0880)
O (0.3395, 0.3920, 0.7514)
O (0.1716, 0.2500, 0.8953)
O (0.4178, 0.6163, 0.6858)
O (0.9101, 0.0752, 0.1830)
P (0.9316, 0.5376, 0.8283)
O (0.3844, 0.4208, 0.5634)
O (0.1293, 0.8719, 0.5836)
P (0.0684, 0.0376, 0.1717)
O (0.5822, 0.3837, 0.3142)
O (0.6156, 0.5792, 0.4366)
O (0.5721, 0.7500, 0.9958)
O (0.4279, 0.2500, 0.0042)
O (0.1605, 0.3920, 0.2514)
O (0.1293, 0.6281, 0.5836)
O (0.5899, 0.4248, 0.6830)
Pb (0.4697, 0.7500, 0.5142)
O (0.9101, 0.4248, 0.1830)
O (0.3844, 0.0792, 0.5634)
P (0.4316, 0.4624, 0.6717)
P (0.4095, 0.7500, 0.0145)
P (0.5684, 0.9624, 0.3283)
O (0.6605, 0.6080, 0.2486)
Pb (0.3002, 0.4411, 0.9327)
Bi (0.7879, 0.2500, 0.2711)
O (0.0822, 0.6163, 0.1858)
O (0.8844, 0.9208, 0.9366)
Pb (0.6998, 0.5589, 0.0673)
O (0.3395, 0.1080, 0.7514)
Pb (0.9697, 0.2500, 0.9858)
O (0.0899, 0.5752, 0.8170)
Pb (0.3002, 0.0589, 0.9327)
Pb (0.5303, 0.2500, 0.4858)
Pb (0.0303, 0.7500, 0.0142)
O (0.6605, 0.8920, 0.2486)
O (0.8395, 0.6080, 0.7486)
Pb (0.6998, 0.9411, 0.0673)
O (0.6293, 0.1281, 0.9164)
Pb (0.8002, 0.5589, 0.5673)
P (0.9095, 0.2500, 0.4855)
O (0.6716, 0.7500, 0.6047)
O (0.3707, 0.8719, 0.0836)
O (0.1156, 0.4208, 0.0634)
O (0.9279, 0.7500, 0.4958)
O (0.4101, 0.9248, 0.3170)
O (0.0899, 0.9248, 0.8170)
O (0.5899, 0.0752, 0.6830)
O (0.8844, 0.5792, 0.9366)
O (0.1156, 0.0792, 0.0634)
O (0.3284, 0.2500, 0.3953)
P (0.0684, 0.4624, 0.1717)
Bi (0.2121, 0.7500, 0.7289)
P (0.5684, 0.5376, 0.3283)
Pb (0.1998, 0.4411, 0.4327)
O (0.8395, 0.8920, 0.7486)
O (0.0822, 0.8837, 0.1858)
O (0.9178, 0.1163, 0.8142)
Pb (0.8002, 0.9411, 0.5673)
O (0.0721, 0.2500, 0.5042)
O (0.6293, 0.3719, 0.9164)
P (0.5905, 0.2500, 0.9855)
O (0.8284, 0.7500, 0.1047)
Pb (0.3633, 0.2500, 0.2259)
Bi (0.7121, 0.2500, 0.7711)
O (0.8325, 0.2500, 0.5880)
P (0.0905, 0.7500, 0.5145)
O (0.6156, 0.9208, 0.4366)

Results
Formation energy from raw total energies in eV/atom: -1.97

***

(11)
Below is a PBEsol-optimized structure of BP2CS, with properties calculated at the meta-GGA SCAN level.

Unit cell a=4.0473 b=3.9475 c=3.9475 alpha=90.00 beta=90.00 gamma=90.00
Positions (direct):
P (0.0000, 0.0000, 0.5000)
B (0.0000, 0.0000, 0.0000)
P (0.0000, 0.5000, 0.0000)
C (0.5000, 0.5000, 0.5000)
S (0.5000, 0.0000, 0.0000)

Results
Formation energy from raw total energies in eV/atom: 2.06

***

(12)
Below is a PBEsol-optimized structure of Sm3Bi4Au3, with properties calculated at the meta-GGA SCAN level.

Unit cell a=8.7371 b=8.7371 c=8.7371 alpha=109.47 beta=109.47 gamma=109.47
Positions (direct):
Bi (0.1819, 0.0000, 0.0000)
Au (0.6250, 0.2500, 0.8750)
Bi (0.6819, 0.0000, 0.0000)
Sm (0.7500, 0.6250, 0.8750)
Bi (0.3181, 0.3181, 0.8181)
Au (0.3750, 0.6250, 0.7500)
Sm (0.1250, 0.2500, 0.3750)
Sm (0.2500, 0.8750, 0.6250)
Au (0.2500, 0.3750, 0.1250)
Au (0.1250, 0.8750, 0.2500)
Bi (0.5000, 0.1819, 0.5000)
Bi (0.0000, 0.5000, 0.6819)
Au (0.7500, 0.1250, 0.3750)
Bi (0.0000, 0.5000, 0.1819)
Sm (0.6250, 0.3750, 0.2500)
Sm (0.8750, 0.1250, 0.7500)
Au (0.8750, 0.7500, 0.6250)
Bi (0.5000, 0.6819, 0.5000)
Sm (0.3750, 0.7500, 0.1250)
Bi (0.8181, 0.8181, 0.3181)

Results
Total DFT energy (no corrections) in hartree per atom: -2.4405